No. 1
Compound: SrTiP3
Source: Alexandria via LeMat-Bulk
Functional: meta-GGA SCAN
Structure: PBEsol geometry

```
data_SrTiP3
_chemical_formula_sum 'Sr1 Ti1 P3'
_space_group_name_H-M_alt 'P m -3 m'
_space_group_IT_number 221
_space_group_name_Hall '-P 4 2 3'
_cell_length_a 4.7126
_cell_length_b 4.7126
_cell_length_c 4.7126
_cell_angle_alpha 90.00
_cell_angle_beta 90.00
_cell_angle_gamma 90.00
loop_
_atom_site_label
_atom_site_type_symbol
_atom_site_fract_x
_atom_site_fract_y
_atom_site_fract_z
Sr1 Sr 0.0000 0.0000 0.0000
Ti1 Ti 0.5000 0.5000 0.5000
P1 P 0.0000 0.5000 0.5000
```

Computed properties:
Total DFT energy (no corrections) (eV per atom): -14.528
Formation energy from the elements (eV/atom): -0.627

***

No. 2
Compound: Zr5Ag
Source: Alexandria via LeMat-Bulk
Functional: meta-GGA SCAN
Structure: PBEsol geometry

```
data_Zr5Ag
_chemical_formula_sum 'Zr5 Ag1'
_space_group_name_H-M_alt 'P 6/m m m'
_space_group_IT_number 191
_space_group_name_Hall '-P 6 2'
_cell_length_a 5.7380
_cell_length_b 5.7380
_cell_length_c 4.8596
_cell_angle_alpha 90.00
_cell_angle_beta 90.00
_cell_angle_gamma 120.00
loop_
_atom_site_label
_atom_site_type_symbol
_atom_site_fract_x
_atom_site_fract_y
_atom_site_fract_z
Zr1 Zr 0.0000 0.5000 0.0000
Zr2 Zr 0.3333 0.6667 0.5000
Ag1 Ag 0.0000 0.0000 0.5000
```

Computed properties:
Total DFT energy (no corrections) (eV per atom): -30.124
Formation energy from the elements (eV/atom): 0.686
Distance to the lowest polymorph of the same formula (eV per atom): 0.714

***

No. 3
Compound: LaFeW2
Source: Alexandria via LeMat-Bulk
Functional: meta-GGA SCAN
Structure: PBEsol geometry

```
data_LaFeW2
_chemical_formula_sum 'La2 Fe2 W4'
_space_group_name_H-M_alt 'C 1 2/m 1'
_space_group_IT_number 12
_cell_length_a 5.3493
_cell_length_b 9.7849
_cell_length_c 2.7838
_cell_angle_alpha 90.00
_cell_angle_beta 109.38
_cell_angle_gamma 90.00
loop_
_space_group_symop_operation_xyz
'x,y,z'
'-x,-y,-z'
'-x,y,-z'
'x,-y,z'
'x+1/2,y+1/2,z'
'-x+1/2,-y+1/2,-z'
'-x+1/2,y+1/2,-z'
'x+1/2,-y+1/2,z'
loop_
_atom_site_label
_atom_site_type_symbol
_atom_site_fract_x
_atom_site_fract_y
_atom_site_fract_z
La1 La 0.0000 0.0000 0.0000
Fe1 Fe 0.0000 0.5000 0.0000
W1 W 0.2500 0.2500 0.5000
```

Computed properties:
Total DFT energy (no corrections) (eV per atom): -49.265
Formation energy from the elements (eV/atom): 0.887
Distance to the lowest polymorph of the same formula (eV per atom): 0.403

***

No. 4
Compound: MgGa2PbN
Source: Alexandria via LeMat-Bulk
Functional: meta-GGA SCAN
Structure: PBEsol geometry

```
data_MgGa2PbN
_chemical_formula_sum 'Mg1 Ga2 Pb1 N1'
_space_group_name_H-M_alt 'P 4/m m m'
_space_group_IT_number 123
_space_group_name_Hall '-P 4 2'
_cell_length_a 4.9431
_cell_length_b 4.9431
_cell_length_c 5.4915
_cell_angle_alpha 90.00
_cell_angle_beta 90.00
_cell_angle_gamma 90.00
loop_
_atom_site_label
_atom_site_type_symbol
_atom_site_fract_x
_atom_site_fract_y
_atom_site_fract_z
Mg1 Mg 0.0000 0.0000 0.0000
Ga1 Ga 0.0000 0.5000 0.0000
Pb1 Pb 0.0000 0.0000 0.5000
N1 N 0.5000 0.5000 0.5000
```

Computed properties:
Total DFT energy (no corrections) (eV per atom): -23.158
Energy relative to the elements, uncorrected (eV per atom): 1.390

***

No. 5
Compound: Mg5Cu4
Source: Alexandria via LeMat-Bulk
Functional: meta-GGA SCAN
Structure: PBEsol geometry

```
data_Mg5Cu4
_chemical_formula_sum 'Mg10 Cu8'
_space_group_name_H-M_alt 'P 63/m c m'
_space_group_IT_number 193
_space_group_name_Hall '-P 6c 2'
_cell_length_a 7.7730
_cell_length_b 7.7730
_cell_length_c 5.4564
_cell_angle_alpha 90.00
_cell_angle_beta 90.00
_cell_angle_gamma 120.00
loop_
_atom_site_label
_atom_site_type_symbol
_atom_site_fract_x
_atom_site_fract_y
_atom_site_fract_z
Mg1 Mg 0.0000 0.2898 0.2500
Mg2 Mg 0.3333 0.6667 0.0000
Cu1 Cu 0.0000 0.0000 0.0000
Cu2 Cu 0.0000 0.3720 0.7500
```

Computed properties:
Total DFT energy (no corrections) (eV per atom): -9.576
Formation energy from the elements (eV/atom): -0.058

***

No. 6
Compound: SrIn2P2
Source: Alexandria via LeMat-Bulk
Functional: meta-GGA SCAN
Structure: PBEsol geometry

```
data_SrIn2P2
_chemical_formula_sum 'Sr2 In4 P4'
_space_group_name_H-M_alt 'P 63/m m c'
_space_group_IT_number 194
_space_group_name_Hall '-P 6c 2c'
_cell_length_a 4.0844
_cell_length_b 4.0844
_cell_length_c 17.7186
_cell_angle_alpha 90.00
_cell_angle_beta 90.00
_cell_angle_gamma 120.00
loop_
_atom_site_label
_atom_site_type_symbol
_atom_site_fract_x
_atom_site_fract_y
_atom_site_fract_z
Sr1 Sr 0.0000 0.0000 0.0000
In1 In 0.3333 0.6667 0.1720
P1 P 0.3333 0.6667 0.6082
```

Computed properties:
Total DFT energy (no corrections) (eV per atom): -22.699
Formation energy from the elements (eV/atom): -0.730

***

No. 7
Compound: Zn2CuSe
Source: Alexandria via LeMat-Bulk
Functional: meta-GGA SCAN
Structure: PBEsol geometry

```
data_Zn2CuSe
_chemical_formula_sum 'Zn2 Cu1 Se1'
_space_group_name_H-M_alt 'P m m 2'
_space_group_IT_number 25
_cell_length_a 2.7930
_cell_length_b 3.7355
_cell_length_c 5.8530
_cell_angle_alpha 90.00
_cell_angle_beta 90.00
_cell_angle_gamma 90.00
loop_
_space_group_symop_operation_xyz
'x,y,z'
'-x,-y,z'
'-x,y,z'
'x,-y,z'
loop_
_atom_site_label
_atom_site_type_symbol
_atom_site_fract_x
_atom_site_fract_y
_atom_site_fract_z
Zn1 Zn 0.0000 0.0000 0.0000
Zn2 Zn 0.5000 0.5000 0.2317
Cu1 Cu 0.0000 0.0000 0.4292
Se1 Se 0.5000 0.5000 0.6999
```

Computed properties:
Total DFT energy (no corrections) (eV per atom): -15.411
Energy relative to the elements, uncorrected (eV per atom): 0.166

***

No. 8
Compound: CaMn3As
Source: Alexandria via LeMat-Bulk
Functional: meta-GGA SCAN
Structure: PBEsol geometry

```
data_CaMn3As
_chemical_formula_sum 'Ca1 Mn3 As1'
_space_group_name_H-M_alt 'P m -3 m'
_space_group_IT_number 221
_space_group_name_Hall '-P 4 2 3'
_cell_length_a 4.6187
_cell_length_b 4.6187
_cell_length_c 4.6187
_cell_angle_alpha 90.00
_cell_angle_beta 90.00
_cell_angle_gamma 90.00
loop_
_atom_site_label
_atom_site_type_symbol
_atom_site_fract_x
_atom_site_fract_y
_atom_site_fract_z
Ca1 Ca 0.0000 0.0000 0.0000
Mn1 Mn 0.0000 0.5000 0.5000
As1 As 0.5000 0.5000 0.5000
```

Computed properties:
Total DFT energy (no corrections) (eV per atom): -16.913
Formation energy from the elements (eV/atom): 0.011

***

No. 9
Compound: TcRu
Source: Alexandria via LeMat-Bulk
Functional: meta-GGA SCAN
Structure: PBEsol geometry

```
data_TcRu
_chemical_formula_sum 'Tc1 Ru1'
_space_group_name_H-M_alt 'P -6 m 2'
_space_group_IT_number 187
_space_group_name_Hall 'P -6 2'
_cell_length_a 2.7057
_cell_length_b 2.7057
_cell_length_c 4.2847
_cell_angle_alpha 90.00
_cell_angle_beta 90.00
_cell_angle_gamma 120.00
loop_
_atom_site_label
_atom_site_type_symbol
_atom_site_fract_x
_atom_site_fract_y
_atom_site_fract_z
Tc1 Tc 0.0000 0.0000 0.0000
Ru1 Ru 0.6667 0.3333 0.5000
```

Computed properties:
Total DFT energy (no corrections) (eV per atom): -35.012
Formation energy from the elements (eV/atom): -0.069
Distance to the lowest polymorph of the same formula (eV per atom): 0.015

***

No. 10
Compound: FeAgSb2
Source: Alexandria via LeMat-Bulk
Functional: meta-GGA SCAN
Structure: PBEsol geometry

```
data_FeAgSb2
_chemical_formula_sum 'Fe1 Ag1 Sb2'
_space_group_name_H-M_alt 'P 4 m m'
_space_group_IT_number 99
_cell_length_a 3.2153
_cell_length_b 3.2153
_cell_length_c 7.7297
_cell_angle_alpha 90.00
_cell_angle_beta 90.00
_cell_angle_gamma 90.00
loop_
_space_group_symop_operation_xyz
'x,y,z'
'-y,x,z'
'-x,-y,z'
'y,-x,z'
'-x,y,z'
'y,x,z'
'x,-y,z'
'-y,-x,z'
loop_
_atom_site_label
_atom_site_type_symbol
_atom_site_fract_x
_atom_site_fract_y
_atom_site_fract_z
Fe1 Fe 0.0000 0.0000 0.0000
Ag1 Ag 0.5000 0.5000 0.7951
Sb1 Sb 0.0000 0.0000 0.5561
Sb2 Sb 0.5000 0.5000 0.1794
```

Computed properties:
Total DFT energy (no corrections) (eV per atom): -30.720
Energy relative to the elements, uncorrected (eV per atom): 0.284
Distance to the lowest polymorph of the same formula (eV per atom): 0.079

***

No. 11
Compound: Cu2Au
Source: Alexandria via LeMat-Bulk
Functional: meta-GGA SCAN
Structure: PBEsol geometry

```
data_Cu2Au
_chemical_formula_sum 'Cu6 Au3'
_space_group_name_H-M_alt 'P -6 2 m'
_space_group_IT_number 189
_space_group_name_Hall 'P -6 -2'
_cell_length_a 7.2961
_cell_length_b 7.2961
_cell_length_c 2.6578
_cell_angle_alpha 90.00
_cell_angle_beta 90.00
_cell_angle_gamma 120.00
loop_
_atom_site_label
_atom_site_type_symbol
_atom_site_fract_x
_atom_site_fract_y
_atom_site_fract_z
Cu1 Cu 0.0000 0.3615 0.0000
Cu2 Cu 0.0000 0.6933 0.5000
Au1 Au 0.0000 0.0000 0.0000
Au2 Au 0.3333 0.6667 0.5000
```

Computed properties:
Total DFT energy (no corrections) (eV per atom): -33.179
Formation energy from the elements (eV/atom): 0.007
Distance to the lowest polymorph of the same formula (eV per atom): 0.080

***

No. 12
Compound: DyTmRu2
Source: Alexandria via LeMat-Bulk
Functional: meta-GGA SCAN
Structure: PBEsol geometry

```
data_DyTmRu2
_chemical_formula_sum 'Dy4 Tm4 Ru8'
_space_group_name_H-M_alt 'F m -3 m'
_space_group_IT_number 225
_space_group_name_Hall '-F 4 2 3'
_cell_length_a 6.6405
_cell_length_b 6.6405
_cell_length_c 6.6405
_cell_angle_alpha 90.00
_cell_angle_beta 90.00
_cell_angle_gamma 90.00
loop_
_atom_site_label
_atom_site_type_symbol
_atom_site_fract_x
_atom_site_fract_y
_atom_site_fract_z
Dy1 Dy 0.0000 0.0000 0.0000
Tm1 Tm 0.0000 0.0000 0.5000
Ru1 Ru 0.2500 0.2500 0.2500
```

Computed properties:
Total DFT energy (no corrections) (eV per atom): -42.803
Formation energy from the elements (eV/atom): -0.483

***

No. 13
Compound: Mg4Ir
Source: Alexandria via LeMat-Bulk
Functional: meta-GGA SCAN
Structure: PBEsol geometry

```
data_Mg4Ir
_chemical_formula_sum 'Mg8 Ir2'
_space_group_name_H-M_alt 'I 4/m'
_space_group_IT_number 87
_space_group_name_Hall '-I 4'
_cell_length_a 6.4809
_cell_length_b 6.4809
_cell_length_c 4.2123
_cell_angle_alpha 90.00
_cell_angle_beta 90.00
_cell_angle_gamma 90.00
loop_
_atom_site_label
_atom_site_type_symbol
_atom_site_fract_x
_atom_site_fract_y
_atom_site_fract_z
Mg1 Mg 0.1119 0.2859 0.0000
Ir1 Ir 0.0000 0.0000 0.5000
```

Computed properties:
Total DFT energy (no corrections) (eV per atom): -18.482
Formation energy from the elements (eV/atom): -0.283